Computed, not measured: Sc2Hg3 after structural relaxation at the PBEsol level of DFT.

Properties
For the density of states at the Fermi level, the calculation gives 10.1 states/eV/cell. As for the formation energy: -0.40 eV per atom. The total energy comes out at -3.3832 eV/atom. The density is 10.82 g cm⁻³. As for the space-group type: No. 43. The total moment is 0.0 μB per cell.

Lattice parameters (Å, degrees): 7.7263 5.8424 8.7440 60.12 40.97 78.91
Closest atoms and distances in Å follow each position.
Atoms (fractional coordinates):
Sc1 0.2427 0.7573 0.3663  7 Hg 2.92-3.15
Sc2 0.6163 0.8837 0.4927  7 Hg 2.92-3.15
Sc3 0.7573 0.2427 0.6337  7 Hg 2.92-3.15
Sc4 0.8837 0.6163 0.0073  7 Hg 2.92-3.15
Hg1 0.1386 0.7996 0.0841  5 Sc 2.92-3.15, 4 Hg 2.94-2.99
Hg2 0.1659 0.2723 0.1114  5 Sc 2.92-3.15, 4 Hg 2.94-2.99
Hg3 0.2723 0.1659 0.4504  5 Sc 2.92-3.15, 4 Hg 2.94-2.99
Hg4 0.3880 0.3880 0.6120  4 Sc 2.94-2.96, 4 Hg 2.94-2.99
Hg5 0.6380 0.6380 0.8620  4 Sc 2.94-2.96, 4 Hg 2.94-2.99
Hg6 0.7996 0.1386 0.9777  5 Sc 2.92-3.15, 4 Hg 2.94-2.99